CsSnTe2 | GGA-PBEsol | optimized geometry

Summary:
space group: No. 122
D(E_F): 1.0355 states/eV/atom
E_tot: -28.126 eV per cell

The structure in POSCAR format:
```
CsSnTe2
1.0
7.779 0.224 0.345
-3.068 7.153 -0.345
-3.068 -3.234 6.389
Cs Te Sn
2 4 2
direct
0.500 0.750 0.250
0.000 0.000 0.000
0.085 0.210 0.625
0.915 0.540 0.125
0.585 0.375 0.460
0.415 0.875 0.790
0.500 0.250 0.750
0.000 0.500 0.500
```